*w*
Computed, not measured: Nd2Sm2C2ICl4 after structural relaxation at the PBE-GGA level of DFT.

Output
Symmetry: C2/m, No. 12

Cell and atoms, written as POSCAR:
```
Nd2Sm2C2ICl4
1.0
9.446 -1.954 0.000
9.446 1.954 0.000
-2.182 0.000 8.170
Nd Sm C I Cl
2 2 2 1 4
Direct
0.161 0.161 0.098 Nd
0.839 0.839 0.902 Nd
0.499 0.499 0.809 Sm
0.501 0.501 0.191 Sm
0.038 0.038 0.021 C
0.962 0.962 0.979 C
0.000 0.000 0.500 I
0.332 0.332 0.150 Cl
0.341 0.341 0.664 Cl
0.659 0.659 0.336 Cl
0.668 0.668 0.850 Cl
```

*x*
Computed, not measured: Nd2Sm2C2ICl4 after structural relaxation at the PBE-GGA level of DFT.

Output
Symmetry: C2/m, No. 12

Cell and atoms, written as POSCAR:
```
Nd2Sm2C2ICl4
1.0
9.399 -1.966 0.000
9.399 1.966 0.000
-2.088 0.000 8.336
Nd Sm C I Cl
2 2 2 1 4
Direct
0.000 0.000 0.192 Nd
0.000 0.000 0.808 Nd
0.340 0.340 0.907 Sm
0.660 0.660 0.093 Sm
0.461 0.461 0.979 C
0.539 0.539 0.021 C
0.500 0.500 0.500 I
0.162 0.162 0.322 Cl
0.171 0.171 0.860 Cl
0.829 0.829 0.140 Cl
0.838 0.838 0.678 Cl
```

Most stable pick: *x*. Distance to second place: 20 meV/atom.

*w*
Computed, not measured: Pr2Sc2CICl4 after structural relaxation at the PBE-GGA level of DFT.

Output
Symmetry: C2/m, No. 12

Cell and atoms, written as POSCAR:
```
Pr2Sc2CICl4
1.0
8.596 -1.878 0.000
8.596 1.878 0.000
-2.182 0.000 7.770
Pr Sc C I Cl
2 2 1 1 4
Direct
0.150 0.150 0.087 Pr
0.850 0.850 0.913 Pr
0.499 0.499 0.815 Sc
0.501 0.501 0.185 Sc
0.000 0.000 0.000 C
0.000 0.000 0.500 I
0.340 0.340 0.175 Cl
0.345 0.345 0.652 Cl
0.655 0.655 0.348 Cl
0.660 0.660 0.825 Cl
```

*x*
Computed, not measured: Pr2Sc2CICl4 after structural relaxation at the PBE-GGA level of DFT.

Output
Symmetry: C2/m, No. 12

Cell and atoms, written as POSCAR:
```
Pr2Sc2CICl4
1.0
8.426 -1.885 0.000
8.426 1.885 0.000
-2.038 0.000 8.825
Pr Sc C I Cl
2 2 1 1 4
Direct
0.000 0.000 0.196 Pr
0.000 0.000 0.804 Pr
0.363 0.363 0.939 Sc
0.637 0.637 0.061 Sc
0.500 0.500 0.000 C
0.500 0.500 0.500 I
0.173 0.173 0.264 Cl
0.175 0.175 0.883 Cl
0.825 0.825 0.117 Cl
0.827 0.827 0.736 Cl
```

Most stable pick: *x*. Distance to second place: 32 meV/atom.

*w*
Computed, not measured: Pr2Sc2CI3Cl2 after structural relaxation at the PBE-GGA level of DFT.

Output
Symmetry: C2/m, No. 12

Cell and atoms, written as POSCAR:
```
Pr2Sc2CI3Cl2
1.0
9.214 -1.931 0.000
9.214 1.931 0.000
-1.712 0.000 8.050
Pr Sc C I Cl
2 2 1 3 2
Direct
0.139 0.139 0.077 Pr
0.861 0.861 0.923 Pr
0.499 0.499 0.182 Sc
0.501 0.501 0.818 Sc
0.000 0.000 0.000 C
0.000 0.000 0.500 I
0.333 0.333 0.210 I
0.667 0.667 0.790 I
0.360 0.360 0.671 Cl
0.640 0.640 0.329 Cl
```

*x*
Computed, not measured: Pr2Sc2CI3Cl2 after structural relaxation at the PBE-GGA level of DFT.

Output
Symmetry: C2/m, No. 12

Cell and atoms, written as POSCAR:
```
Pr2Sc2CI3Cl2
1.0
9.046 -1.933 0.000
9.046 1.933 0.000
-2.036 0.000 8.810
Pr Sc C I Cl
2 2 1 3 2
Direct
0.002 0.002 0.305 Pr
0.998 0.998 0.695 Pr
0.372 0.372 0.443 Sc
0.628 0.628 0.557 Sc
0.500 0.500 0.500 C
0.178 0.178 0.805 I
0.500 0.500 0.000 I
0.822 0.822 0.195 I
0.165 0.165 0.390 Cl
0.835 0.835 0.610 Cl
```

*y*
Computed, not measured: Pr2Sc2CI3Cl2 after structural relaxation at the PBE-GGA level of DFT.

Output
Symmetry: C2/m, No. 12

Cell and atoms, written as POSCAR:
```
Pr2Sc2CI3Cl2
1.0
8.889 -1.942 0.000
8.889 1.942 0.000
-1.950 0.000 8.113
Pr Sc C I Cl
2 2 1 3 2
Direct
0.143 0.143 0.065 Pr
0.857 0.857 0.935 Pr
0.499 0.499 0.180 Sc
0.501 0.501 0.820 Sc
0.000 0.000 0.000 C
0.000 0.000 0.500 I
0.335 0.335 0.637 I
0.665 0.665 0.363 I
0.345 0.345 0.180 Cl
0.655 0.655 0.820 Cl
```

Most stable pick: *x*. Distance to second place: 35 meV/atom.

*w*
Computed, not measured: Pr2Sc2CI4Cl after structural relaxation at the PBE-GGA level of DFT.

Output
Symmetry: C2/m, No. 12

Cell and atoms, written as POSCAR:
```
Pr2Sc2CI4Cl
1.0
9.255 -1.946 0.000
9.255 1.946 0.000
-1.913 0.000 8.258
Pr Sc C I Cl
2 2 1 4 1
Direct
0.139 0.139 0.070 Pr
0.861 0.861 0.930 Pr
0.500 0.500 0.179 Sc
0.500 0.500 0.821 Sc
0.000 0.000 0.000 C
0.339 0.339 0.208 I
0.345 0.345 0.637 I
0.655 0.655 0.363 I
0.661 0.661 0.792 I
0.000 0.000 0.500 Cl
```

*x*
Computed, not measured: Pr2Sc2CI4Cl after structural relaxation at the PBE-GGA level of DFT.

Output
Symmetry: C2/m, No. 12

Cell and atoms, written as POSCAR:
```
Pr2Sc2CI4Cl
1.0
10.148 -1.950 0.000
10.148 1.950 0.000
-1.675 0.000 8.077
Pr Sc C I Cl
2 2 1 4 1
Direct
0.000 0.000 0.215 Pr
0.000 0.000 0.785 Pr
0.386 0.386 0.943 Sc
0.614 0.614 0.057 Sc
0.500 0.500 0.000 C
0.161 0.161 0.324 I
0.161 0.161 0.837 I
0.839 0.839 0.163 I
0.839 0.839 0.676 I
0.500 0.500 0.500 Cl
```

Most stable pick: *x*. Distance to second place: 126 meV/atom.

*w*
Computed, not measured: Pr2Sm2CI4Cl after structural relaxation at the PBE-GGA level of DFT.

Output
Symmetry: C2/m, No. 12

Cell and atoms, written as POSCAR:
```
Pr2Sm2CI4Cl
1.0
9.665 -2.005 0.000
9.665 2.005 0.000
-1.816 0.000 8.297
Pr Sm C I Cl
2 2 1 4 1
Direct
0.135 0.135 0.068 Pr
0.865 0.865 0.932 Pr
0.499 0.499 0.205 Sm
0.501 0.501 0.795 Sm
0.000 0.000 0.000 C
0.331 0.331 0.196 I
0.338 0.338 0.640 I
0.662 0.662 0.360 I
0.669 0.669 0.804 I
0.000 0.000 0.500 Cl
```

*x*
Computed, not measured: Pr2Sm2CI4Cl after structural relaxation at the PBE-GGA level of DFT.

Output
Symmetry: C2/m, No. 12

Cell and atoms, written as POSCAR:
```
Pr2Sm2CI4Cl
1.0
9.728 -2.016 0.000
9.728 2.016 0.000
-1.751 0.000 8.267
Pr Sm C I Cl
2 2 1 4 1
Direct
0.001 0.001 0.289 Pr
0.999 0.999 0.711 Pr
0.370 0.370 0.434 Sm
0.630 0.630 0.566 Sm
0.500 0.500 0.500 C
0.165 0.165 0.851 I
0.171 0.171 0.317 I
0.829 0.829 0.683 I
0.835 0.835 0.149 I
0.500 0.500 0.000 Cl
```

Most stable pick: *x*. Distance to second place: 19 meV/atom.

*w*
Computed, not measured: Pr2Sm2CI2Cl3 after structural relaxation at the PBE-GGA level of DFT.

Output
Symmetry: C2/m, No. 12

Cell and atoms, written as POSCAR:
```
Pr2Sm2CI2Cl3
1.0
9.427 -1.962 0.000
9.427 1.962 0.000
-1.663 0.000 7.965
Pr Sm C I Cl
2 2 1 2 3
Direct
0.138 0.138 0.076 Pr
0.862 0.862 0.924 Pr
0.499 0.499 0.211 Sm
0.501 0.501 0.789 Sm
0.000 0.000 0.000 C
0.328 0.328 0.207 I
0.672 0.672 0.793 I
0.000 0.000 0.500 Cl
0.351 0.351 0.666 Cl
0.649 0.649 0.334 Cl
```

*x*
Computed, not measured: Pr2Sm2CI2Cl3 after structural relaxation at the PBE-GGA level of DFT.

Output
Symmetry: C2/m, No. 12

Cell and atoms, written as POSCAR:
```
Pr2Sm2CI2Cl3
1.0
9.134 -1.987 0.000
9.134 1.987 0.000
-1.529 0.000 8.146
Pr Sm C I Cl
2 2 1 2 3
Direct
0.005 0.005 0.288 Pr
0.995 0.995 0.712 Pr
0.362 0.362 0.437 Sm
0.638 0.638 0.563 Sm
0.500 0.500 0.500 C
0.170 0.170 0.854 I
0.830 0.830 0.146 I
0.170 0.170 0.345 Cl
0.500 0.500 0.000 Cl
0.830 0.830 0.655 Cl
```

*y*
Computed, not measured: Pr2Sm2CI2Cl3 after structural relaxation at the PBE-GGA level of DFT.

Output
Symmetry: C2/m, No. 12

Cell and atoms, written as POSCAR:
```
Pr2Sm2CI2Cl3
1.0
9.123 -1.973 0.000
9.123 1.973 0.000
-1.535 0.000 8.037
Pr Sm C I Cl
2 2 1 2 3
Direct
0.141 0.141 0.064 Pr
0.859 0.859 0.936 Pr
0.496 0.496 0.209 Sm
0.504 0.504 0.791 Sm
0.000 0.000 0.000 C
0.334 0.334 0.633 I
0.666 0.666 0.367 I
0.000 0.000 0.500 Cl
0.335 0.335 0.177 Cl
0.665 0.665 0.823 Cl
```

Most stable pick: *w*. Distance to second place: 12 meV/atom.

*w*
Computed, not measured: Sm4CI3Cl2 after structural relaxation at the PBE-GGA level of DFT.

Output
Symmetry: C2/m, No. 12

Cell and atoms, written as POSCAR:
```
Sm4CI3Cl2
1.0
9.311 -1.990 0.000
9.311 1.990 0.000
-1.559 0.000 8.513
Sm C I Cl
4 1 3 2
Direct
0.002 0.002 0.306 Sm
0.365 0.365 0.434 Sm
0.635 0.635 0.566 Sm
0.998 0.998 0.694 Sm
0.500 0.500 0.500 C
0.175 0.175 0.311 I
0.500 0.500 0.000 I
0.825 0.825 0.689 I
0.150 0.150 0.797 Cl
0.850 0.850 0.203 Cl
```

*x*
Computed, not measured: Sm4CI3Cl2 after structural relaxation at the PBE-GGA level of DFT.

Output
Symmetry: C2/m, No. 12

Cell and atoms, written as POSCAR:
```
Sm4CI3Cl2
1.0
8.940 -1.995 0.000
8.940 1.995 0.000
-1.921 0.000 8.544
Sm C I Cl
4 1 3 2
Direct
0.004 0.004 0.308 Sm
0.358 0.358 0.432 Sm
0.642 0.642 0.568 Sm
0.996 0.996 0.692 Sm
0.500 0.500 0.500 C
0.172 0.172 0.845 I
0.500 0.500 0.000 I
0.828 0.828 0.155 I
0.170 0.170 0.357 Cl
0.830 0.830 0.643 Cl
```

Most stable pick: *w*. Distance to second place: 14 meV/atom.

*w*
Computed, not measured: Sm2Y2CI2Cl3 after structural relaxation at the PBE-GGA level of DFT.

Output
Symmetry: C2/m, No. 12

Cell and atoms, written as POSCAR:
```
Sm2Y2CI2Cl3
1.0
8.985 -1.933 0.000
8.985 1.933 0.000
-1.549 0.000 7.899
Sm Y C I Cl
2 2 1 2 3
Direct
0.140 0.140 0.067 Sm
0.860 0.860 0.933 Sm
0.496 0.496 0.204 Y
0.504 0.504 0.796 Y
0.000 0.000 0.000 C
0.335 0.335 0.631 I
0.665 0.665 0.369 I
0.000 0.000 0.500 Cl
0.334 0.334 0.169 Cl
0.666 0.666 0.831 Cl
```

*x*
Computed, not measured: Sm2Y2CI2Cl3 after structural relaxation at the PBE-GGA level of DFT.

Output
Symmetry: C2/m, No. 12

Cell and atoms, written as POSCAR:
```
Sm2Y2CI2Cl3
1.0
9.229 -1.938 0.000
9.229 1.938 0.000
-1.456 0.000 7.890
Sm Y C I Cl
2 2 1 2 3
Direct
0.002 0.002 0.288 Sm
0.998 0.998 0.712 Sm
0.367 0.367 0.431 Y
0.633 0.633 0.569 Y
0.500 0.500 0.500 C
0.176 0.176 0.304 I
0.824 0.824 0.696 I
0.152 0.152 0.813 Cl
0.500 0.500 0.000 Cl
0.848 0.848 0.187 Cl
```

*y*
Computed, not measured: Sm2Y2CI2Cl3 after structural relaxation at the PBE-GGA level of DFT.

Output
Symmetry: C2/m, No. 12

Cell and atoms, written as POSCAR:
```
Sm2Y2CI2Cl3
1.0
8.953 -1.943 0.000
8.953 1.943 0.000
-1.461 0.000 7.995
Sm Y C I Cl
2 2 1 2 3
Direct
0.006 0.006 0.291 Sm
0.994 0.994 0.709 Sm
0.364 0.364 0.435 Y
0.636 0.636 0.565 Y
0.500 0.500 0.500 C
0.169 0.169 0.855 I
0.831 0.831 0.145 I
0.171 0.171 0.349 Cl
0.500 0.500 0.000 Cl
0.829 0.829 0.651 Cl
```

Most stable pick: *x*. Distance to second place: 19 meV/atom.

*w*
Computed, not measured: La2Nd2CCl5 after structural relaxation at the PBE-GGA level of DFT.

Output
Symmetry: C2/m, No. 12

Cell and atoms, written as POSCAR:
```
La2Nd2CCl5
1.0
8.973 -1.963 0.000
8.973 1.963 0.000
-2.149 0.000 7.834
La Nd C Cl
2 2 1 5
Direct
0.148 0.148 0.092 La
0.852 0.852 0.908 La
0.499 0.499 0.213 Nd
0.501 0.501 0.787 Nd
0.000 0.000 0.000 C
0.000 0.000 0.500 Cl
0.332 0.332 0.161 Cl
0.338 0.338 0.645 Cl
0.662 0.662 0.355 Cl
0.668 0.668 0.839 Cl
```

*x*
Computed, not measured: La2Nd2CCl5 after structural relaxation at the PBE-GGA level of DFT.

Output
Symmetry: C2/m, No. 12

Cell and atoms, written as POSCAR:
```
La2Nd2CCl5
1.0
8.936 -1.974 0.000
8.936 1.974 0.000
-2.087 0.000 8.026
La Nd C Cl
2 2 1 5
Direct
0.002 0.002 0.284 La
0.998 0.998 0.716 La
0.355 0.355 0.413 Nd
0.645 0.645 0.587 Nd
0.500 0.500 0.500 C
0.166 0.166 0.838 Cl
0.173 0.173 0.356 Cl
0.500 0.500 0.000 Cl
0.827 0.827 0.644 Cl
0.834 0.834 0.162 Cl
```

Most stable pick: *w*. Distance to second place: 5 meV/atom.